Crystalline Rb3RuBr6 at its relaxed geometry, computed with PBE-GGA.

Results
As for the density: 3.7 Mg/m³. The value obtained for the raw formation energy is -11.16 eV/f.u. As for the energy relative to the lowest polymorph listed for this composition: 0.006 eV/atom. The calculation puts the uncorrected energy at -3.3375 eV/atom.

a b c (Å): 7.8308 7.8308 8.3059
angles (deg): 117.75 117.75 60.23
With the nearest neighbours (Å) after each atom.
Positions (direct):
Rb 0.0000 0.0000 0.0000  6 Br 3.35-3.39
Rb 0.2377 0.2377 0.7291  5 Br 3.49-3.63
Rb 0.7623 0.7623 0.2709  5 Br 3.49-3.63
Ru 0.5000 0.5000 0.5000  6 Br 2.54-2.55
Br 0.2144 0.6682 0.6500  1 Ru 2.54
Br 0.2940 0.2940 0.2008  1 Ru 2.55
Br 0.3318 0.7856 0.3500  1 Ru 2.54
Br 0.6682 0.2144 0.6500  1 Ru 2.54
Br 0.7060 0.7060 0.7992  1 Ru 2.55
Br 0.7856 0.3318 0.3500  1 Ru 2.54

***

Crystalline Rb3RuBr8 at its relaxed geometry, computed with PBE-GGA.

Results
As for the density: 3.7 Mg/m³. The value obtained for the raw formation energy is -8.43 eV/f.u. As for the energy relative to the lowest polymorph listed for this composition: 0.239 eV/atom. The calculation puts the uncorrected energy at -2.8326 eV/atom.

a b c (Å): 9.2277 9.2277 9.2277
angles (deg): 130.56 130.56 72.51
With the nearest neighbours (Å) after each atom.
Positions (direct):
Rb 0.0000 0.0000 0.0000  8 Br 3.59
Rb 0.2500 0.7500 0.5000  8 Br 3.51
Rb 0.7500 0.2500 0.5000  8 Br 3.51
Ru 0.5000 0.5000 0.0000  8 Br 2.74
Br 0.1893 0.1893 0.5904  1 Ru 2.74
Br 0.1893 0.5989 0.0000  1 Ru 2.74
Br 0.4011 0.4011 0.5904  1 Ru 2.74
Br 0.4011 0.8107 0.0000  1 Ru 2.74
Br 0.5989 0.1893 0.0000  1 Ru 2.74
Br 0.5989 0.5989 0.4096  1 Ru 2.74
Br 0.8107 0.4011 0.0000  1 Ru 2.74
Br 0.8107 0.8107 0.4096  1 Ru 2.74